Entry 1:
Computed, not measured: a relaxed structure of La2PmIn9 at the PBE level of DFT.

a b c (Å): 4.759 4.759 14.272
angles (deg): 90.00 90.00 90.00
Fractional coordinates of all 12 atoms:
La 0.000 0.000 0.169
La 0.000 0.000 0.831
Pm 0.000 0.000 0.500
In 0.000 0.500 0.000
In 0.000 0.500 0.337
In 0.000 0.500 0.663
In 0.500 0.000 0.000
In 0.500 0.000 0.337
In 0.500 0.000 0.663
In 0.500 0.500 0.167
In 0.500 0.500 0.500
In 0.500 0.500 0.833

## Properties
Space group   P4/mmm (123)
Calculated volume   323 Å³ per cell
ΔE_f   -5.77 eV per formula unit

***

Entry 2:
Computed, not measured: a relaxed structure of LaPm4In3 at the PBE level of DFT.

a b c (Å): 11.269 7.304 5.802
angles (deg): 90.00 90.00 90.00
Fractional coordinates of all 16 atoms:
La 0.000 0.000 0.000
La 0.500 0.000 0.000
Pm 0.000 0.257 0.500
Pm 0.000 0.743 0.500
Pm 0.250 0.260 0.090
Pm 0.250 0.740 0.090
Pm 0.500 0.257 0.500
Pm 0.500 0.743 0.500
Pm 0.750 0.260 0.910
Pm 0.750 0.740 0.910
In 0.000 0.500 0.000
In 0.250 0.000 0.596
In 0.250 0.500 0.600
In 0.500 0.500 0.000
In 0.750 0.000 0.404
In 0.750 0.500 0.400

## Properties
Space group   Pmma (51)
Calculated volume   478 Å³ per cell
ΔE_f   -2.49 eV per formula unit

***

Entry 3:
Computed, not measured: a relaxed structure of La3PmIn2 at the PBE level of DFT.

a b c (Å): 5.323 10.490 6.922
angles (deg): 90.00 90.00 90.00
Fractional coordinates of all 12 atoms:
La 0.000 0.052 0.000
La 0.000 0.316 0.390
La 0.000 0.684 0.890
La 0.000 0.948 0.500
La 0.500 0.180 0.773
La 0.500 0.820 0.273
Pm 0.500 0.457 0.126
Pm 0.500 0.543 0.626
In 0.000 0.371 0.869
In 0.000 0.629 0.369
In 0.500 0.140 0.282
In 0.500 0.860 0.782

## Properties
Space group   Pmc2_1 (26)
Calculated volume   387 Å³ per cell
ΔE to the lowest computed polymorph   0 kJ/mol of formula units
ΔE_f   -2.20 eV per formula unit

***

Entry 4:
Computed, not measured: a relaxed structure of LaPm12In6 at the PBE level of DFT.

a b c (Å): 8.908 8.908 8.908
angles (deg): 102.57 102.57 102.57
Fractional coordinates of all 19 atoms:
La 0.000 0.000 0.000
Pm 0.109 0.500 0.891
Pm 0.109 0.891 0.500
Pm 0.170 0.436 0.436
Pm 0.436 0.170 0.436
Pm 0.436 0.436 0.170
Pm 0.500 0.109 0.891
Pm 0.500 0.891 0.109
Pm 0.564 0.564 0.830
Pm 0.564 0.830 0.564
Pm 0.830 0.564 0.564
Pm 0.891 0.109 0.500
Pm 0.891 0.500 0.109
In 0.253 0.253 0.721
In 0.253 0.721 0.253
In 0.279 0.747 0.747
In 0.721 0.253 0.253
In 0.747 0.279 0.747
In 0.747 0.747 0.279

## Properties
Space group   R-3m (166)
Calculated volume   647 Å³ per cell
ΔE_f   -1.38 eV per formula unit

***

Entry 5:
Computed, not measured: a relaxed structure of La5PmIn2 at the PBE level of DFT.

a b c (Å): 6.738 6.738 16.499
angles (deg): 90.00 90.00 133.28
Fractional coordinates of all 16 atoms:
La 0.036 0.964 0.605
La 0.036 0.964 0.895
La 0.357 0.643 0.526
La 0.357 0.643 0.974
La 0.462 0.538 0.250
La 0.538 0.462 0.750
La 0.643 0.357 0.026
La 0.643 0.357 0.474
La 0.964 0.036 0.105
La 0.964 0.036 0.395
Pm 0.266 0.734 0.750
Pm 0.734 0.266 0.250
In 0.225 0.775 0.147
In 0.225 0.775 0.353
In 0.775 0.225 0.647
In 0.775 0.225 0.853

## Properties
Space group   Cmcm (63)
Calculated volume   545 Å³ per cell
ΔE to the lowest computed polymorph   87 kJ/mol of formula units
ΔE_f   -1.47 eV per formula unit

***

Entry 6:
Computed, not measured: a relaxed structure of LaPm2In at the PBE level of DFT.

a b c (Å): 3.708 3.708 9.329
angles (deg): 90.00 90.00 90.00
Fractional coordinates of all 4 atoms:
La 0.000 0.000 0.000
Pm 0.500 0.500 0.278
Pm 0.500 0.500 0.722
In 0.000 0.000 0.500

## Properties
Space group   P4/mmm (123)
Calculated volume   128 Å³ per cell
ΔE to the lowest computed polymorph   17 kJ/mol of formula units
ΔE_f   -0.94 eV per formula unit

***

Entry 7:
Computed, not measured: a relaxed structure of La14PmIn at the PBE level of DFT.

a b c (Å): 7.345 7.345 10.407
angles (deg): 90.00 90.00 90.00
Fractional coordinates of all 16 atoms:
La 0.000 0.000 0.000
La 0.000 0.500 0.000
La 0.000 0.500 0.500
La 0.244 0.244 0.256
La 0.244 0.244 0.744
La 0.244 0.756 0.256
La 0.244 0.756 0.744
La 0.500 0.000 0.000
La 0.500 0.000 0.500
La 0.500 0.500 0.000
La 0.756 0.244 0.256
La 0.756 0.244 0.744
La 0.756 0.756 0.256
La 0.756 0.756 0.744
Pm 0.500 0.500 0.500
In 0.000 0.000 0.500

## Properties
Space group   P4/mmm (123)
Calculated volume   561 Å³ per cell
ΔE_f   -1.01 eV per formula unit

***

Entry 8:
Computed, not measured: a relaxed structure of La12Pm7In at the PBE level of DFT.

a b c (Å): 10.148 10.148 10.148
angles (deg): 109.47 109.47 109.47
Fractional coordinates of all 20 atoms:
La 0.002 0.239 0.763
La 0.237 0.476 0.239
La 0.237 0.998 0.761
La 0.239 0.237 0.476
La 0.239 0.763 0.002
La 0.476 0.239 0.237
La 0.524 0.761 0.763
La 0.761 0.237 0.998
La 0.761 0.763 0.524
La 0.763 0.002 0.239
La 0.763 0.524 0.761
La 0.998 0.761 0.237
Pm 0.000 0.000 0.500
Pm 0.000 0.500 0.000
Pm 0.000 0.500 0.500
Pm 0.500 0.000 0.000
Pm 0.500 0.000 0.500
Pm 0.500 0.500 0.000
Pm 0.500 0.500 0.500
In 0.000 0.000 0.000

## Properties
Space group   Im-3 (204)
Calculated volume   804 Å³ per cell
ΔE to the lowest computed polymorph   799 kJ/mol of formula units
ΔE_f   10.27 eV per formula unit

***

Entry 9:
Computed, not measured: a relaxed structure of La15Pm4In at the PBE level of DFT.

a b c (Å): 5.195 5.195 26.197
angles (deg): 90.00 90.00 90.00
Fractional coordinates of all 20 atoms:
La 0.000 0.000 0.000
La 0.000 0.000 0.199
La 0.000 0.000 0.400
La 0.000 0.000 0.600
La 0.000 0.000 0.801
La 0.000 0.500 0.096
La 0.000 0.500 0.298
La 0.000 0.500 0.500
La 0.000 0.500 0.702
La 0.000 0.500 0.904
La 0.500 0.000 0.096
La 0.500 0.000 0.298
La 0.500 0.000 0.500
La 0.500 0.000 0.702
La 0.500 0.000 0.904
Pm 0.500 0.500 0.197
Pm 0.500 0.500 0.400
Pm 0.500 0.500 0.600
Pm 0.500 0.500 0.803
In 0.500 0.500 0.000

## Properties
Space group   P4/mmm (123)
Calculated volume   707 Å³ per cell
ΔE_f   -0.93 eV per formula unit

***

Entry 10:
Computed, not measured: a relaxed structure of La6PmIn at the PBE level of DFT.

a b c (Å): 5.133 5.133 10.422
angles (deg): 90.00 90.00 90.00
Fractional coordinates of all 8 atoms:
La 0.000 0.000 0.000
La 0.000 0.000 0.500
La 0.000 0.500 0.244
La 0.000 0.500 0.756
La 0.500 0.000 0.244
La 0.500 0.000 0.756
Pm 0.500 0.500 0.500
In 0.500 0.500 0.000

## Properties
Space group   P4/mmm (123)
Calculated volume   275 Å³ per cell
ΔE to the lowest computed polymorph   0 kJ/mol of formula units
ΔE_f   -1.06 eV per formula unit

***

Entry 11:
Computed, not measured: a relaxed structure of La3PmIn3 at the PBE level of DFT.

a b c (Å): 9.731 9.731 9.731
angles (deg): 90.00 90.00 90.00
Fractional coordinates of all 28 atoms:
La 0.071 0.429 0.571
La 0.171 0.829 0.329
La 0.174 0.174 0.174
La 0.326 0.826 0.674
La 0.329 0.171 0.829
La 0.429 0.571 0.071
La 0.571 0.071 0.429
La 0.671 0.671 0.671
La 0.674 0.326 0.826
La 0.826 0.674 0.326
La 0.829 0.329 0.171
La 0.929 0.929 0.929
Pm 0.077 0.577 0.923
Pm 0.423 0.423 0.423
Pm 0.577 0.923 0.077
Pm 0.923 0.077 0.577
In 0.002 0.255 0.870
In 0.130 0.502 0.245
In 0.245 0.130 0.502
In 0.255 0.870 0.002
In 0.370 0.498 0.745
In 0.498 0.745 0.370
In 0.502 0.245 0.130
In 0.630 0.998 0.755
In 0.745 0.370 0.498
In 0.755 0.630 0.998
In 0.870 0.002 0.255
In 0.998 0.755 0.630

## Properties
Space group   P2_13 (198)
Calculated volume   922 Å³ per cell
ΔE to the lowest computed polymorph   0 kJ/mol of formula units
ΔE_f   -2.53 eV per formula unit

***

Entry 12:
Computed, not measured: a relaxed structure of La9Pm4In11 at the PBE level of DFT.

a b c (Å): 14.315 14.315 3.615
angles (deg): 90.00 90.00 99.62
Fractional coordinates of all 24 atoms:
La 0.000 0.000 0.000
La 0.126 0.643 0.000
La 0.290 0.464 0.000
La 0.357 0.874 0.000
La 0.464 0.290 0.000
La 0.536 0.710 0.000
La 0.643 0.126 0.000
La 0.710 0.536 0.000
La 0.874 0.357 0.000
Pm 0.065 0.239 0.000
Pm 0.239 0.065 0.000
Pm 0.761 0.935 0.000
Pm 0.935 0.761 0.000
In 0.078 0.433 0.500
In 0.136 0.864 0.500
In 0.259 0.259 0.500
In 0.333 0.667 0.500
In 0.433 0.078 0.500
In 0.500 0.500 0.500
In 0.567 0.922 0.500
In 0.667 0.333 0.500
In 0.741 0.741 0.500
In 0.864 0.136 0.500
In 0.922 0.567 0.500

## Properties
Space group   Cmmm (65)
Calculated volume   730 Å³ per cell
ΔE_f   -10.44 eV per formula unit

***

Entry 13:
Computed, not measured: a relaxed structure of LaPm2In2 at the PBE level of DFT.

a b c (Å): 13.352 13.352 5.110
angles (deg): 90.00 90.00 160.59
Fractional coordinates of all 10 atoms:
La 0.144 0.856 0.750
La 0.856 0.144 0.250
Pm 0.050 0.950 0.250
Pm 0.238 0.762 0.250
Pm 0.762 0.238 0.750
Pm 0.950 0.050 0.750
In 0.351 0.649 0.750
In 0.456 0.544 0.250
In 0.544 0.456 0.750
In 0.649 0.351 0.250

## Properties
Space group   Cmcm (63)
Calculated volume   303 Å³ per cell
ΔE to the lowest computed polymorph   0 kJ/mol of formula units
ΔE_f   -1.95 eV per formula unit

***

Entry 14:
Computed, not measured: a relaxed structure of La4PmIn2 at the PBE level of DFT.

a b c (Å): 7.810 7.810 7.810
angles (deg): 134.16 134.16 66.84
Fractional coordinates of all 7 atoms:
La 0.000 0.500 0.500
La 0.250 0.750 0.500
La 0.500 0.000 0.500
La 0.750 0.250 0.500
Pm 0.000 0.000 0.000
In 0.378 0.378 0.000
In 0.622 0.622 0.000

## Properties
Space group   I4/mmm (139)
Calculated volume   241 Å³ per cell
ΔE to the lowest computed polymorph   130 kJ/mol of formula units
ΔE_f   0.16 eV per formula unit

***

Entry 15:
Computed, not measured: a relaxed structure of La2Pm3In at the PBE level of DFT.

a b c (Å): 9.415 9.415 7.044
angles (deg): 90.06 90.06 40.32
Fractional coordinates of all 12 atoms:
La 0.150 0.203 0.249
La 0.203 0.150 0.749
La 0.797 0.850 0.251
La 0.850 0.797 0.751
Pm 0.183 0.817 0.250
Pm 0.359 0.360 0.500
Pm 0.360 0.359 0.000
Pm 0.640 0.641 0.000
Pm 0.641 0.640 0.500
Pm 0.817 0.183 0.750
In 0.305 0.695 0.750
In 0.695 0.305 0.250

## Properties
Space group   C2/c (15)
Calculated volume   404 Å³ per cell
ΔE to the lowest computed polymorph   23 kJ/mol of formula units
ΔE_f   -0.66 eV per formula unit

***

Entry 16:
Computed, not measured: a relaxed structure of La5PmIn2 at the PBE level of DFT.

a b c (Å): 7.144 14.283 5.032
angles (deg): 90.00 90.00 90.00
Fractional coordinates of all 16 atoms:
La 0.000 0.000 0.000
La 0.013 0.253 0.000
La 0.245 0.876 0.500
La 0.255 0.376 0.500
La 0.487 0.753 0.000
La 0.500 0.500 0.000
La 0.513 0.247 0.000
La 0.745 0.624 0.500
La 0.755 0.124 0.500
La 0.987 0.747 0.000
Pm 0.000 0.500 0.000
Pm 0.500 0.000 0.000
In 0.242 0.623 0.500
In 0.258 0.123 0.500
In 0.742 0.877 0.500
In 0.758 0.377 0.500

## Properties
Space group   Pbam (55)
Calculated volume   513 Å³ per cell
ΔE to the lowest computed polymorph   0 kJ/mol of formula units
ΔE_f   -2.37 eV per formula unit

***

Entry 17:
Computed, not measured: a relaxed structure of LaPmIn at the PBE level of DFT.

a b c (Å): 6.107 6.107 6.107
angles (deg): 140.19 140.19 57.57
Fractional coordinates of all 3 atoms:
La 0.000 0.000 0.000
Pm 0.312 0.312 0.000
In 0.663 0.663 0.000

## Properties
Space group   I4mm (107)
Calculated volume   93 Å³ per cell
ΔE to the lowest computed polymorph   7 kJ/mol of formula units
ΔE_f   -0.86 eV per formula unit

***

Entry 18:
Computed, not measured: a relaxed structure of La4Pm5In at the PBE level of DFT.

a b c (Å): 8.286 8.286 8.286
angles (deg): 97.70 97.70 137.06
Fractional coordinates of all 10 atoms:
La 0.000 0.307 0.307
La 0.000 0.693 0.693
La 0.307 0.000 0.307
La 0.693 0.000 0.693
Pm 0.210 0.210 0.000
Pm 0.311 0.311 0.629
Pm 0.311 0.682 0.000
Pm 0.682 0.311 0.000
Pm 0.682 0.682 0.371
In 0.727 0.727 0.000

## Properties
Space group   I4mm (107)
Calculated volume   361 Å³ per cell
ΔE to the lowest computed polymorph   62 kJ/mol of formula units
ΔE_f   0.52 eV per formula unit

***

Entry 19:
Computed, not measured: a relaxed structure of La2Pm2In at the PBE level of DFT.

a b c (Å): 8.428 8.428 4.774
angles (deg): 90.00 90.00 90.00
Fractional coordinates of all 10 atoms:
La 0.158 0.342 0.000
La 0.342 0.842 0.000
La 0.658 0.158 0.000
La 0.842 0.658 0.000
Pm 0.148 0.648 0.500
Pm 0.352 0.148 0.500
Pm 0.648 0.852 0.500
Pm 0.852 0.352 0.500
In 0.000 0.000 0.500
In 0.500 0.500 0.500

## Properties
Space group   P4/mbm (127)
Calculated volume   339 Å³ per cell
ΔE to the lowest computed polymorph   55 kJ/mol of formula units
ΔE_f   -0.34 eV per formula unit

***

Short version: raw total energy = -3.7522, -4.3298, -4.5348, -4.1970, -4.5418, -4.5272, -4.8425, -4.2428, -4.8289, -4.7641, -4.3253, -4.3299, -4.3708, -4.2535, -4.5845, -4.6545, -4.4257, -4.5685, -4.4878 eV per atom, in the order given.